Record 1
First-principles (GGA-PBE) data for a relaxed structure of PbSe3F, as listed in the Alexandria database.

Geometry as POSCAR:
```
PbSe3F
1.0
-1.2445 1.0850 5.3534
3.0060 -4.4483 1.6004
4.5607 3.2280 0.4060
Pb Se F
1 3 1
direct
0.0000 0.0000 0.0000 Pb
0.0000 0.5000 0.0000 Se
0.0000 0.0000 0.5000 Se
0.5000 0.0000 0.0000 Se
0.5000 0.5000 0.5000 F
```

Results
Symmetry: No. 221
Magnetization, μB per formula unit: 3.83
DOS at the Fermi energy, states/eV/f.u.: 20.0

Record 2
First-principles (GGA-PBE) data for a relaxed structure of Pb2SeF2, as listed in the Alexandria database.

Geometry as POSCAR:
```
Pb2SeF2
1.0
6.4433 -0.0883 -2.1061
-2.4669 5.5837 -2.9514
-0.3818 0.0694 6.8504
Pb Se F
4 2 4
direct
0.8483 0.1622 0.1972 Pb
0.5348 0.3490 0.6972 Pb
0.4652 0.6510 0.3027 Pb
0.1517 0.8378 0.8028 Pb
0.1425 0.8925 0.2500 Se
0.8575 0.1075 0.7500 Se
0.4726 0.2205 0.9796 F
0.2590 0.5063 0.4790 F
0.5274 0.7795 0.0204 F
0.7410 0.4937 0.5210 F
```

Results
Symmetry: No. 15
Magnetization, μB per formula unit: 0.00
DOS at the Fermi energy, states/eV/f.u.: 0.0

Record 3
First-principles (GGA-PBE) data for a relaxed structure of PbSe2F8, as listed in the Alexandria database.

Geometry as POSCAR:
```
PbSe2F8
1.0
-1.1659 0.5164 5.9853
4.0958 -4.2794 1.7531
5.9111 0.6214 1.6839
Pb Se F
1 2 8
direct
0.0000 0.0000 0.0000 Pb
0.4091 0.2357 0.2357 Se
0.5909 0.7643 0.7643 Se
0.7698 0.0769 0.6201 F
0.2302 0.3799 0.9231 F
0.6208 0.0953 0.0953 F
0.3792 0.9047 0.9047 F
0.7698 0.6201 0.0769 F
0.2302 0.9231 0.3799 F
0.1888 0.3659 0.3659 F
0.8112 0.6341 0.6341 F
```

Results
Symmetry: No. 12
Magnetization, μB per formula unit: 0.00

Record 4
First-principles (GGA-PBE) data for a relaxed structure of PbSe3F, as listed in the Alexandria database.

Geometry as POSCAR:
```
PbSe3F
1.0
4.8077 0.0000 0.0000
0.0000 4.8077 0.0000
0.0000 0.0000 4.8077
Pb Se F
1 3 1
direct
0.5000 0.5000 0.5000 Pb
0.0000 0.5000 0.0000 Se
0.0000 0.0000 0.5000 Se
0.5000 0.0000 0.0000 Se
0.0000 0.0000 0.0000 F
```

Results
Symmetry: No. 221
Magnetization, μB per formula unit: 0.00
DOS at the Fermi energy, states/eV/f.u.: 2.2

Record 5
First-principles (GGA-PBE) data for a relaxed structure of Pb2SeF2, as listed in the Alexandria database.

Geometry as POSCAR:
```
Pb2SeF2
1.0
-3.1849 -1.7889 6.0253
4.5374 -6.4120 0.4946
4.2911 3.5789 7.0307
Pb Se F
8 4 8
direct
0.7070 0.0877 0.0859 Pb
0.2070 0.4123 0.0859 Pb
0.7930 0.5877 0.9141 Pb
0.2930 0.9123 0.9141 Pb
0.7497 0.3425 0.5125 Pb
0.2497 0.1575 0.5125 Pb
0.7503 0.8425 0.4875 Pb
0.2503 0.6575 0.4875 Pb
0.5512 0.3983 0.2761 Se
0.4488 0.6017 0.7239 Se
0.0512 0.1017 0.2761 Se
0.9488 0.8983 0.7239 Se
0.4849 0.1954 0.9630 F
0.9849 0.3046 0.9630 F
0.0151 0.6954 0.0370 F
0.5151 0.8046 0.0370 F
0.9827 0.5565 0.3593 F
0.4827 0.9435 0.3593 F
0.5173 0.0565 0.6407 F
0.0173 0.4435 0.6407 F
```

Results
Symmetry: No. 14
Magnetization, μB per formula unit: 0.00

Record 6
First-principles (GGA-PBE) data for a relaxed structure of PbSe2F, as listed in the Alexandria database.

Geometry as POSCAR:
```
PbSe2F
1.0
5.7012 -2.4431 5.0812
7.2939 -3.0753 1.2775
7.4077 0.7316 2.9802
Pb Se F
1 2 1
direct
0.5000 0.5000 0.5000 Pb
0.0933 0.0933 0.0933 Se
0.9067 0.9067 0.9067 Se
0.0000 0.0000 0.0000 F
```

Results
Symmetry: No. 166
Magnetization, μB per formula unit: 0.00
DOS at the Fermi energy, states/eV/f.u.: 2.4

Record 7
First-principles (GGA-PBE) data for a relaxed structure of PbSe2F, as listed in the Alexandria database.

Geometry as POSCAR:
```
PbSe2F
1.0
0.0000 3.4632 3.4632
3.4632 0.0000 3.4632
3.4632 3.4632 0.0000
Pb Se F
1 2 1
direct
0.5000 0.5000 0.5000 Pb
0.2500 0.2500 0.2500 Se
0.7500 0.7500 0.7500 Se
0.0000 0.0000 0.0000 F
```

Results
Symmetry: No. 225
Magnetization, μB per formula unit: 0.00
DOS at the Fermi energy, states/eV/f.u.: 5.6

Record 8
First-principles (GGA-PBE) data for a relaxed structure of PbSeF3, as listed in the Alexandria database.

Geometry as POSCAR:
```
PbSeF3
1.0
4.7209 0.0000 0.0000
0.0000 4.7209 0.0000
0.0000 0.0000 4.7209
Pb Se F
1 1 3
direct
0.0000 0.0000 0.0000 Pb
0.5000 0.5000 0.5000 Se
0.0000 0.5000 0.0000 F
0.0000 0.0000 0.5000 F
0.5000 0.0000 0.0000 F
```

Results
Symmetry: No. 221
Magnetization, μB per formula unit: 2.73
DOS at the Fermi energy, states/eV/f.u.: 3.8

Record 9
First-principles (GGA-PBE) data for a relaxed structure of PbSeF, as listed in the Alexandria database.

Geometry as POSCAR:
```
PbSeF
1.0
4.3003 0.0000 -0.4720
0.0000 5.0305 0.0000
-1.3732 0.0000 7.2785
Pb Se F
2 2 2
direct
0.1678 0.2500 0.3349 Pb
0.8322 0.7500 0.6651 Pb
0.5238 0.2500 0.0469 Se
0.4762 0.7500 0.9531 Se
0.7922 0.2500 0.5851 F
0.2078 0.7500 0.4149 F
```

Results
Symmetry: No. 11
Magnetization, μB per formula unit: 0.00
DOS at the Fermi energy, states/eV/f.u.: 0.8

Record 10
First-principles (GGA-PBE) data for a relaxed structure of PbSeF, as listed in the Alexandria database.

Geometry as POSCAR:
```
PbSeF
1.0
-4.1977 2.8537 -1.4576
-3.2825 -1.1710 2.6764
4.2991 5.1693 2.9734
Pb Se F
2 2 2
direct
0.3022 0.1740 0.2876 Pb
0.6978 0.8260 0.7124 Pb
0.7124 0.5804 0.0558 Se
0.2876 0.4196 0.9442 Se
0.6855 0.2295 0.5262 F
0.3145 0.7705 0.4738 F
```

Results
Symmetry: No. 2
Magnetization, μB per formula unit: 0.00

Record 11
First-principles (GGA-PBE) data for a relaxed structure of Pb3SeF, as listed in the Alexandria database.

Geometry as POSCAR:
```
Pb3SeF
1.0
-0.7490 -1.8990 -4.7688
-3.6402 -3.2012 1.8465
-3.6189 3.6131 -0.8704
Pb Se F
3 1 1
direct
0.0000 0.5000 0.0000 Pb
0.0000 0.0000 0.5000 Pb
0.5000 0.0000 0.0000 Pb
0.5000 0.5000 0.5000 Se
0.0000 0.0000 0.0000 F
```

Results
Symmetry: No. 221
Magnetization, μB per formula unit: 0.00
DOS at the Fermi energy, states/eV/f.u.: 4.9

Record 12
First-principles (GGA-PBE) data for a relaxed structure of PbSe2F, as listed in the Alexandria database.

Geometry as POSCAR:
```
PbSe2F
1.0
-0.9965 -7.8578 5.6723
-2.9843 -5.1763 -7.6949
0.2136 -7.1205 -1.4601
Pb Se F
2 4 2
direct
0.0000 0.0000 0.0000 Pb
0.7500 0.2500 0.5000 Pb
0.6772 0.1250 0.2500 Se
0.0728 0.6250 0.2500 Se
0.3750 0.3228 0.7500 Se
0.8750 0.9272 0.7500 Se
0.5000 0.5000 0.0000 F
0.2500 0.7500 0.5000 F
```

Results
Symmetry: No. 122
Magnetization, μB per formula unit: 0.00
DOS at the Fermi energy, states/eV/f.u.: 1.4

Record 13
First-principles (GGA-PBE) data for a relaxed structure of PbSeF3, as listed in the Alexandria database.

Geometry as POSCAR:
```
PbSeF3
1.0
4.5390 0.0000 0.0000
0.0000 4.5390 0.0000
0.0000 0.0000 4.5390
Pb Se F
1 1 3
direct
0.5000 0.5000 0.5000 Pb
0.0000 0.0000 0.0000 Se
0.0000 0.5000 0.0000 F
0.0000 0.0000 0.5000 F
0.5000 0.0000 0.0000 F
```

Results
Symmetry: No. 221
Magnetization, μB per formula unit: 0.00
DOS at the Fermi energy, states/eV/f.u.: 2.4

Record 14
First-principles (GGA-PBE) data for a relaxed structure of PbSeF6, as listed in the Alexandria database.

Geometry as POSCAR:
```
PbSeF6
1.0
-3.6255 -3.2767 -0.3857
1.5941 -1.9536 4.2038
-3.4304 1.9052 3.3521
Pb Se F
1 1 6
direct
0.5000 0.5000 0.5000 Pb
0.0000 0.0000 0.0000 Se
0.0986 0.7204 0.2878 F
0.7204 0.0986 0.2878 F
0.2796 0.9014 0.7122 F
0.9014 0.2796 0.7122 F
0.2847 0.2847 0.0147 F
0.7153 0.7153 0.9853 F
```

Results
Symmetry: No. 12
Magnetization, μB per formula unit: 0.00
DOS at the Fermi energy, states/eV/f.u.: 0.0

Record 15
First-principles (GGA-PBE) data for a relaxed structure of TaPbSe2F, as listed in the Alexandria database.

Geometry as POSCAR:
```
TaPbSe2F
1.0
-1.6086 -0.8969 4.3998
-0.3631 -4.4508 -1.0401
4.4744 -0.7133 1.4905
Pb F Se Ta
1 1 2 1
direct
0.0000 0.5000 0.0000 Pb
0.0000 0.0000 0.0000 F
0.0000 0.0000 0.5000 Se
0.5000 0.0000 0.0000 Se
0.5000 0.5000 0.5000 Ta
```

Results
Symmetry: No. 123
Magnetization, μB per formula unit: 0.00
DOS at the Fermi energy, states/eV/f.u.: 4.2

Calculated total energy readings, ordered: -2.645 -4.503 -3.973 -3.174 -4.484 -3.483 -3.325 -3.797 -4.267 -4.299 -3.695 -4.012 -3.514 -4.214 -4.405 eV/atom